# 1
# SiSn2Hg

A relaxed structure of SiSn2Hg (PBE, the Alexandria database).

Cell: 7.6912 7.6912 7.6912 Å, 30.16 30.16 30.16°
Closest atoms and distances in Å follow each position.
Atoms (fractional coordinates):
Si  0.0000  0.0000  0.0000  6 Sn 2.78
Sn  0.2633  0.2633  0.2633  3 Si 2.78
Sn  0.7367  0.7367  0.7367  3 Si 2.78
Hg  0.5000  0.5000  0.5000  6 Sn 3.14

Summary:
The final energy comes out at -13.08 eV for the cell shown. The energy relative to the lowest polymorph listed for this composition is 0 meV per atom. Its formation energy without anion corrections is 162 meV/atom.



# 2
# Sr2SmBi3Rh4

A relaxed structure of Sr2SmBi3Rh4 (PBE, the Alexandria database).

Cell: 4.5846 4.5846 11.7836 Å, 90.00 90.00 90.00°
Closest atoms and distances in Å follow each position.
Atoms (fractional coordinates):
Sr  0.0000  0.5000  0.2335  4 Bi 3.47, 8 Rh 3.55-3.58
Sr  0.5000  0.0000  0.7665  4 Bi 3.47, 8 Rh 3.55-3.58
Sm  0.0000  0.0000  0.5000  4 Rh 2.85
Bi  0.0000  0.5000  0.8717  5 Rh 2.69-2.75
Bi  0.5000  0.0000  0.1283  5 Rh 2.69-2.75
Bi  0.5000  0.5000  0.5000  4 Rh 2.85
Rh  0.0000  0.0000  0.0000  4 Bi 2.75
Rh  0.0000  0.5000  0.6432  3 Bi 2.69-2.85, 2 Sm 2.85
Rh  0.5000  0.0000  0.3568  3 Bi 2.69-2.85, 2 Sm 2.85
Rh  0.5000  0.5000  0.0000  4 Bi 2.75

Summary:
For the calculated formation energy, the calculation gives -0.527 eV per atom. The final energy comes out at -54.40 eV for the cell shown.



# 3
# KGe3Pt6

A relaxed structure of KGe3Pt6 (PBE, the Alexandria database).

Cell: 6.6634 7.2074 8.2337 Å, 90.00 115.29 90.00°
Closest atoms and distances in Å follow each position.
Atoms (fractional coordinates):
K  0.0000  0.0000  0.0000  10 Pt 3.05-3.28, 4 Ge 3.14-3.33
K  0.0000  0.5000  0.5000  10 Pt 3.05-3.28, 4 Ge 3.14-3.33
Ge  0.1620  0.0773  0.4120  7 Pt 2.57-2.85
Ge  0.1620  0.4227  0.9120  7 Pt 2.57-2.85
Ge  0.5000  0.0000  0.0000  6 Pt 2.48-2.68
Ge  0.5000  0.5000  0.5000  6 Pt 2.48-2.68
Ge  0.8380  0.5773  0.0880  7 Pt 2.57-2.85
Ge  0.8380  0.9227  0.5880  7 Pt 2.57-2.85
Pt  0.1831  0.1413  0.7276  4 Ge 2.55-2.61, 3 Pt 2.76-2.84
Pt  0.1831  0.3587  0.2276  4 Ge 2.55-2.61, 3 Pt 2.76-2.84
Pt  0.2443  0.7491  0.3224  2 Ge 2.48-2.60
Pt  0.2443  0.7509  0.8224  2 Ge 2.48-2.60
Pt  0.4987  0.0675  0.3201  3 Ge 2.61-2.68, 4 Pt 2.76-2.86
Pt  0.4987  0.4325  0.8201  3 Ge 2.61-2.68, 4 Pt 2.76-2.86
Pt  0.5013  0.5675  0.1799  3 Ge 2.61-2.68, 4 Pt 2.76-2.86
Pt  0.5013  0.9325  0.6799  3 Ge 2.61-2.68, 4 Pt 2.76-2.86
Pt  0.7557  0.2491  0.1776  2 Ge 2.48-2.60
Pt  0.7557  0.2509  0.6776  2 Ge 2.48-2.60
Pt  0.8169  0.6413  0.7724  4 Ge 2.55-2.61, 3 Pt 2.76-2.84
Pt  0.8169  0.8587  0.2724  4 Ge 2.55-2.61, 3 Pt 2.76-2.84

Summary:
For the calculated formation energy, the calculation gives -0.267 eV per atom. The final energy comes out at -107.72 eV for the cell shown.



# 4
# NbAgAu2

A relaxed structure of NbAgAu2 (PBE, the Alexandria database).

Cell: 2.9223 2.9223 8.3601 Å, 90.00 90.00 90.00°
Closest atoms and distances in Å follow each position.
Atoms (fractional coordinates):
Nb  0.0000  0.0000  0.0000  8 Au 2.91, 4 Nb 2.92
Ag  0.0000  0.0000  0.5000  4 Ag 2.92, 8 Au 2.97
Au  0.5000  0.5000  0.2446  4 Nb 2.91, 4 Au 2.92, 4 Ag 2.97
Au  0.5000  0.5000  0.7554  4 Nb 2.91, 4 Au 2.92, 4 Ag 2.97

Summary:
For the calculated formation energy, the calculation gives -0.082 eV per atom. The final energy comes out at -19.80 eV for the cell shown.



# 5
# SmGdZnPd

A relaxed structure of SmGdZnPd (PBE, the Alexandria database).

Cell: 5.0843 5.0843 5.0843 Å, 60.00 60.00 60.00°
Closest atoms and distances in Å follow each position.
Atoms (fractional coordinates):
Sm  0.0000  0.0000  0.0000  4 Pd 3.11, 4 Zn 3.11
Gd  0.5000  0.5000  0.5000  4 Pd 3.11, 4 Zn 3.11
Zn  0.2500  0.2500  0.2500  4 Gd 3.11, 4 Sm 3.11
Pd  0.7500  0.7500  0.7500  4 Gd 3.11, 4 Sm 3.11

Summary:
For the calculated formation energy, the calculation gives -0.554 eV per atom. The final energy comes out at -27.48 eV for the cell shown.



# 6
# AsRu2Au

A relaxed structure of AsRu2Au (PBE, the Alexandria database).

Cell: 5.2581 5.2581 5.2581 Å, 147.11 127.13 63.68°
Closest atoms and distances in Å follow each position.
Atoms (fractional coordinates):
As  0.0000  0.0000  0.0000  4 Ru 2.43
Ru  0.2155  0.7155  0.5000  2 As 2.43
Ru  0.7845  0.2845  0.5000  2 As 2.43
Au  0.5000  0.5000  0.0000  4 As 2.77, 8 Ru 2.95-3.03, 2 Au 2.98

Summary:
For the calculated formation energy, the calculation gives 0.263 eV per atom. The final energy comes out at -25.43 eV for the cell shown.



# 7
# Pm6Ir2SI3

A relaxed structure of Pm6Ir2SI3 (PBE, the Alexandria database).

Cell: 7.3283 7.3283 8.2968 Å, 98.44 98.44 119.91°
Closest atoms and distances in Å follow each position.
Atoms (fractional coordinates):
Pm  0.0898  0.4379  0.8144  2 Ir 2.81, 1 S 2.95
Pm  0.2135  0.2135  0.1854  2 Ir 2.81, 1 S 2.95
Pm  0.4379  0.0898  0.8144  2 Ir 2.81, 1 S 2.95
Pm  0.5621  0.9102  0.1856  2 Ir 2.81, 1 S 2.95
Pm  0.7865  0.7865  0.8146  2 Ir 2.81, 1 S 2.95
Pm  0.9102  0.5621  0.1856  2 Ir 2.81, 1 S 2.95
Ir  0.1668  0.8332  0.0000  6 Pm 2.81
Ir  0.8332  0.1668  0.0000  6 Pm 2.81
S  0.5000  0.5000  0.0000  6 Pm 2.95
I  0.0000  0.0000  0.5000  6 Pm 3.42-3.53
I  0.3356  0.6644  0.5000  6 Pm 3.43-3.53
I  0.6644  0.3356  0.5000  6 Pm 3.43-3.53

Summary:
The final energy comes out at -68.61 eV for the cell shown. Its formation energy without anion corrections is -1134 meV/atom.



# 8
# MoW2I

A relaxed structure of MoW2I (PBE, the Alexandria database).

Cell: 10.6482 10.6482 10.6482 Å, 159.21 159.21 29.57°
Closest atoms and distances in Å follow each position.
Atoms (fractional coordinates):
Mo  0.0000  0.0000  0.0000  4 I 2.72, 4 W 2.90
Mo  0.7500  0.2500  0.5000  4 I 2.72, 4 W 2.90
W  0.1179  0.6250  0.9929  4 W 2.68-2.76, 2 Mo 2.90, 2 I 2.92
W  0.3750  0.3679  0.4929  4 W 2.68-2.76, 2 Mo 2.90, 2 I 2.92
W  0.6321  0.1250  0.0071  4 W 2.68-2.76, 2 Mo 2.90, 2 I 2.92
W  0.8750  0.8821  0.5071  4 W 2.68-2.76, 2 Mo 2.90, 2 I 2.92
I  0.2500  0.7500  0.5000  4 Mo 2.72, 4 W 2.92
I  0.5000  0.5000  0.0000  4 Mo 2.72, 4 W 2.92

Summary:
The final energy comes out at -64.70 eV for the cell shown. The energy relative to the lowest polymorph listed for this composition is 249 meV per atom. Its formation energy without anion corrections is 1485 meV/atom.



# 9
# KTc2Cl2

A relaxed structure of KTc2Cl2 (PBE, the Alexandria database).

Cell: 9.0505 9.0505 9.0505 Å, 157.48 157.48 32.06°
Closest atoms and distances in Å follow each position.
Atoms (fractional coordinates):
K  0.0000  0.0000  0.0000  8 Cl 3.14
Tc  0.2500  0.7500  0.5000  4 Tc 2.50
Tc  0.7500  0.2500  0.5000  4 Tc 2.50
Cl  0.3904  0.3904  0.0000  4 Tc 3.01, 4 K 3.14
Cl  0.6096  0.6096  0.0000  4 Tc 3.01, 4 K 3.14

Summary:
The final energy comes out at -25.37 eV for the cell shown. Its formation energy without anion corrections is 31 meV/atom.



# 10
# DyTm2ScSe4

A relaxed structure of DyTm2ScSe4 (PBE, the Alexandria database).

Cell: 6.9313 3.9625 6.9746 Å, 90.00 108.99 90.00°
Closest atoms and distances in Å follow each position.
Atoms (fractional coordinates):
Dy  0.0000  0.0000  0.0000  6 Se 2.85
Tm  0.5000  0.0000  0.5000  6 Se 2.81
Tm  0.5000  0.5000  0.0000  6 Se 2.86-2.87
Sc  0.0000  0.5000  0.5000  6 Se 2.79-2.80
Se  0.2458  0.0000  0.7421  2 Sc 2.79, 3 Tm 2.81-2.86, 1 Dy 2.85
Se  0.2506  0.5000  0.2568  1 Sc 2.80, 3 Tm 2.81-2.87, 2 Dy 2.85
Se  0.7494  0.5000  0.7432  1 Sc 2.80, 3 Tm 2.81-2.87, 2 Dy 2.85
Se  0.7542  0.0000  0.2579  2 Sc 2.79, 3 Tm 2.81-2.86, 1 Dy 2.85

Summary:
The final energy comes out at -47.07 eV for the cell shown. Its formation energy without anion corrections is -1656 meV/atom.